[1]
{"formula": "TmTaZn", "functional": "GGA-PBE", "state": "relaxed", "vol_a3_per_atom": 21.27, "dft_energy_ev_per_atom": -5.90, "delta_e_f_kj_per_mol_atoms": -3.1, "sg": "No. 129", "cell": [[4.0462, 0.0000, 0.0000], [0.0000, 4.0462, 0.0000], [0.0000, 0.0000, 7.7941]], "species": ["Tm", "Tm", "Ta", "Ta", "Zn", "Zn"], "frac_coords": [[0.2500, 0.2500, 0.1615], [0.7500, 0.7500, 0.8385], [0.2500, 0.7500, 0.5000], [0.7500, 0.2500, 0.5000], [0.2500, 0.2500, 0.7519], [0.7500, 0.7500, 0.2481]]}

***

[2]
{"formula": "Tm2TaZn", "functional": "GGA-PBE", "state": "relaxed", "vol_a3_per_atom": 23.14, "dft_energy_ev_per_atom": -5.02, "delta_e_f_kj_per_mol_atoms": 47.9, "sg": "No. 166", "cell": [[1.5660, 0.9041, 10.8942], [-1.5660, 0.9041, 10.8942], [0.0000, -1.8083, 10.8942]], "species": ["Tm", "Tm", "Ta", "Zn"], "frac_coords": [[0.0923, 0.0923, 0.0923], [0.9077, 0.9077, 0.9077], [0.0000, 0.0000, 0.0000], [0.5000, 0.5000, 0.5000]]}